No. 1
This record from Alexandria via LeMat-Bulk describes Nd4Tm4Mg after structural relaxation. The functional is PBE.

Results
E_tot ... -4.28 eV/atom
Total moment ... 0.00 μB per cell
Space group ... No. 2

Lattice parameters (Å, degrees): 6.6980 8.4286 10.7896 89.55 74.83 77.15
Positions (direct):
Nd 0.0517 0.1918 0.1663
Nd 0.2680 0.4681 0.6163
Nd 0.3874 0.8547 0.9370
Nd 0.4051 0.8600 0.6028
Nd 0.5949 0.1400 0.3972
Nd 0.6126 0.1453 0.0630
Nd 0.7320 0.5319 0.3837
Nd 0.9483 0.8082 0.8337
Tm 0.0411 0.1934 0.4940
Tm 0.0606 0.1950 0.8212
Tm 0.2719 0.4698 0.9578
Tm 0.2848 0.4842 0.2822
Tm 0.7152 0.5158 0.7178
Tm 0.7281 0.5302 0.0422
Tm 0.9394 0.8050 0.1788
Tm 0.9589 0.8066 0.5060
Mg 0.3890 0.8563 0.2686
Mg 0.6110 0.1437 0.7314

=====

No. 2
This record from Alexandria via LeMat-Bulk describes CrCuOs2 after structural relaxation. The functional is PBE.

Results
E_tot ... -8.82 eV/atom
Total moment ... 0.00 μB per cell
Energy above the lowest structure with this stoichiometry ... 71 meV per atom
Space group ... No. 12

Lattice parameters (Å, degrees): 4.5918 4.5918 4.6444 101.00 101.00 33.99
Positions (direct):
Cr 0.0000 0.0000 0.0000
Cu 0.5000 0.5000 0.5000
Os 0.2641 0.2641 0.7615
Os 0.7359 0.7359 0.2385

=====

Calculated formation energy from the elements (eV/atom), listed in the same order as above: 0.0037, 0.2285
Calculated ρ (g cm⁻³), listed in the same order as above: 7.4, 15.4